The following is a PBE calculation of a geometry-optimized ScU2Mn2C4 structure, from the Alexandria database.

The structure in POSCAR format:
```
ScU2Mn2C4
1.0
6.366 -1.569 0.000
6.366 1.569 0.000
-1.602 0.000 5.535
Sc U Mn C
1 2 2 4
direct
0.000 0.000 0.000
0.127 0.127 0.537
0.873 0.873 0.463
0.319 0.319 0.990
0.681 0.681 0.010
0.227 0.227 0.217
0.457 0.457 0.252
0.543 0.543 0.748
0.773 0.773 0.783
```

**Spin magnetization**: 3.2 μB per formula unit
**DFT total energy**: -85.25 eV/f.u.
**D(E_F)**: 1.13 states/eV per atom
**Crystal system**: monoclinic

***

The following is a PBE calculation of a geometry-optimized Sc2Mn2VC4 structure, from the Alexandria database.

The structure in POSCAR format:
```
Sc2Mn2VC4
1.0
5.824 -1.579 0.000
5.824 1.579 0.000
-1.505 0.000 5.169
Sc Mn V C
2 2 1 4
direct
0.131 0.131 0.043
0.869 0.869 0.957
0.329 0.329 0.495
0.671 0.671 0.505
0.000 0.000 0.500
0.220 0.220 0.712
0.480 0.480 0.752
0.520 0.520 0.248
0.780 0.780 0.288
```

**Spin magnetization**: 0.0 μB per formula unit
**DFT total energy**: -78.96 eV/f.u.
**D(E_F)**: 0.59 states/eV per atom
**Crystal system**: monoclinic

***

The following is a PBE calculation of a geometry-optimized ScMnVC2 structure, from the Alexandria database.

The structure in POSCAR format:
```
ScMnVC2
1.0
6.040 -1.579 0.000
6.040 1.579 0.000
-5.440 0.000 6.095
Sc Mn V C
2 2 2 4
direct
0.194 0.194 0.114
0.806 0.806 0.886
0.050 0.050 0.674
0.950 0.950 0.326
0.364 0.364 0.615
0.636 0.636 0.385
0.174 0.174 0.581
0.405 0.405 0.164
0.595 0.595 0.836
0.826 0.826 0.419
```

**Spin magnetization**: 0.0 μB per formula unit
**DFT total energy**: -44.69 eV/f.u.
**D(E_F)**: 0.69 states/eV per atom
**Crystal system**: monoclinic

***

The following is a PBE calculation of a geometry-optimized Sc2Mn2WC4 structure, from the Alexandria database.

The structure in POSCAR format:
```
Sc2Mn2WC4
1.0
5.901 -1.574 0.000
5.901 1.574 0.000
-1.891 0.000 5.311
Sc Mn W C
2 2 1 4
direct
0.133 0.133 0.042
0.867 0.867 0.958
0.324 0.324 0.511
0.676 0.676 0.489
0.000 0.000 0.500
0.211 0.211 0.712
0.481 0.481 0.758
0.519 0.519 0.242
0.789 0.789 0.288
```

**Spin magnetization**: 1.2 μB per formula unit
**DFT total energy**: -82.08 eV/f.u.
**D(E_F)**: 0.54 states/eV per atom
**Crystal system**: monoclinic

***

The following is a PBE calculation of a geometry-optimized Y2ScMnC structure, from the Alexandria database.

The structure in POSCAR format:
```
Y2ScMnC
1.0
5.039 0.000 0.000
0.000 5.039 0.000
0.000 0.000 4.526
Y Sc Mn C
2 1 1 1
direct
0.000 0.500 0.000
0.500 0.000 0.000
0.000 0.000 0.500
0.000 0.000 0.000
0.500 0.500 0.500
```

**Spin magnetization**: 0.3 μB per formula unit
**DFT total energy**: -31.54 eV/f.u.
**D(E_F)**: 0.62 states/eV per atom
**Crystal system**: tetragonal

***

The following is a PBE calculation of a geometry-optimized MnC3Se structure, from the Alexandria database.

The structure in POSCAR format:
```
MnC3Se
1.0
3.860 0.000 0.000
0.000 3.860 0.000
0.000 0.000 3.860
Mn C Se
1 3 1
direct
0.000 0.000 0.000
0.000 0.000 0.500
0.000 0.500 0.000
0.500 0.000 0.000
0.500 0.500 0.500
```

**Relative energy among the computed polymorphs**: 0.0 kJ per mole of atoms
**Spin magnetization**: 1.1 μB per formula unit
**ΔE_f (raw)**: 2.049 eV per atom
**DFT total energy**: -30.08 eV/f.u.
**D(E_F)**: 0.53 states/eV per atom
**Crystal system**: cubic

***

The following is a PBE calculation of a geometry-optimized MnC3Se structure, from the Alexandria database.

The structure in POSCAR format:
```
MnC3Se
1.0
3.819 0.000 0.000
0.000 3.819 0.000
0.000 0.000 3.819
Mn C Se
1 3 1
direct
0.000 0.000 0.000
0.000 0.500 0.500
0.500 0.000 0.500
0.500 0.500 0.000
0.500 0.500 0.500
```

**Relative energy among the computed polymorphs**: 103.5 kJ per mole of atoms
**Spin magnetization**: 0.0 μB per formula unit
**ΔE_f (raw)**: 3.121 eV per atom
**DFT total energy**: -24.72 eV/f.u.
**D(E_F)**: 1.85 states/eV per atom
**Crystal system**: cubic

***

The following is a PBE calculation of a geometry-optimized Mn2CSe structure, from the Alexandria database.

The structure in POSCAR format:
```
Mn2CSe
1.0
-2.415 2.415 5.166
2.415 -2.415 5.166
2.415 2.415 -5.166
Mn C Se
4 2 2
direct
0.029 0.625 0.904
0.375 0.279 0.404
0.721 0.125 0.096
0.875 0.971 0.596
0.000 0.000 0.000
0.750 0.250 0.500
0.250 0.750 0.500
0.500 0.500 0.000
```

**Spin magnetization**: 5.2 μB per formula unit
**ΔE_f (raw)**: 0.214 eV per atom
**DFT total energy**: -30.19 eV/f.u.
**D(E_F)**: 0.82 states/eV per atom
**Crystal system**: tetragonal

***

The following is a PBE calculation of a geometry-optimized Mn2CSe structure, from the Alexandria database.

The structure in POSCAR format:
```
Mn2CSe
1.0
0.000 2.758 2.758
2.758 0.000 2.758
2.758 2.758 0.000
Mn C Se
2 1 1
direct
0.250 0.250 0.250
0.750 0.750 0.750
0.000 0.000 0.000
0.500 0.500 0.500
```

**Spin magnetization**: 0.6 μB per formula unit
**ΔE_f (raw)**: 0.863 eV per atom
**DFT total energy**: -27.60 eV/f.u.
**D(E_F)**: 0.82 states/eV per atom
**Crystal system**: cubic

***

The following is a PBE calculation of a geometry-optimized MnVCSe2 structure, from the Alexandria database.

The structure in POSCAR format:
```
MnVCSe2
1.0
4.656 0.000 0.000
0.000 4.656 0.000
0.000 0.000 5.014
Mn V C Se
1 1 1 2
direct
0.000 0.000 0.000
0.000 0.000 0.500
0.500 0.500 0.000
0.000 0.500 0.500
0.500 0.000 0.500
```

**Spin magnetization**: 1.8 μB per formula unit
**ΔE_f (raw)**: 1.500 eV per atom
**DFT total energy**: -26.98 eV/f.u.
**D(E_F)**: 0.57 states/eV per atom
**Crystal system**: tetragonal

***

The following is a PBE calculation of a geometry-optimized MnWCSe2 structure, from the Alexandria database.

The structure in POSCAR format:
```
MnWCSe2
1.0
4.800 0.000 0.000
0.000 4.800 0.000
0.000 0.000 5.185
Mn W C Se
1 1 1 2
direct
0.000 0.000 0.000
0.000 0.000 0.500
0.500 0.500 0.000
0.000 0.500 0.500
0.500 0.000 0.500
```

**Spin magnetization**: 2.2 μB per formula unit
**ΔE_f (raw)**: 1.772 eV per atom
**DFT total energy**: -29.46 eV/f.u.
**D(E_F)**: 0.75 states/eV per atom
**Crystal system**: tetragonal

***

The following is a PBE calculation of a geometry-optimized Mn22SiC6 structure, from the Alexandria database.

The structure in POSCAR format:
```
Mn22SiC6
1.0
0.000 5.201 5.201
5.201 0.000 5.201
5.201 5.201 0.000
Mn Si C
22 1 6
direct
0.000 0.000 0.339
0.000 0.000 0.661
0.000 0.339 0.000
0.000 0.339 0.661
0.000 0.661 0.000
0.000 0.661 0.339
0.147 0.618 0.618
0.250 0.250 0.250
0.339 0.000 0.000
0.339 0.000 0.661
0.339 0.661 0.000
0.382 0.382 0.382
0.382 0.382 0.853
0.382 0.853 0.382
0.618 0.147 0.618
0.618 0.618 0.147
0.618 0.618 0.618
0.661 0.000 0.000
0.661 0.000 0.339
0.661 0.339 0.000
0.750 0.750 0.750
0.853 0.382 0.382
0.000 0.000 0.000
0.280 0.280 0.720
0.280 0.720 0.280
0.280 0.720 0.720
0.720 0.280 0.280
0.720 0.280 0.720
0.720 0.720 0.280
```

**Spin magnetization**: 12.3 μB per formula unit
**ΔE_f (raw)**: -0.104 eV per atom
**DFT total energy**: -265.53 eV/f.u.
**D(E_F)**: 1.08 states/eV per atom
**Crystal system**: cubic